Below is a relaxed structure of VSb3F, with properties calculated at the PBE with a Hubbard U level.

Properties
D(E_F), states/eV per cell: 1.11
ΔE to the lowest computed polymorph, kJ/mol of atoms: 0.0

a b c (Å): 5.0390 5.0390 5.0390
angles (deg): 90.00 90.00 90.00
Closest atoms and distances in Å follow each position.
Positions (direct):
Sb 0.0000 0.5000 0.0000  2 V 2.52
Sb 0.0000 0.0000 0.5000  2 V 2.52
Sb 0.5000 0.0000 0.0000  2 V 2.52
V 0.0000 0.0000 0.0000  6 Sb 2.52
F 0.5000 0.5000 0.5000  12 Sb 3.56

---

Below is a relaxed structure of VSbF, with properties calculated at the PBE with a Hubbard U level.

Properties
D(E_F), states/eV per cell: 0.88
Final energy, eV/atom: -5.35

a b c (Å): 5.9603 3.5647 6.5827
angles (deg): 90.00 125.00 90.00
Closest atoms and distances in Å follow each position.
Positions (direct):
V 0.2329 0.2500 0.3387  2 F 2.02
V 0.7671 0.7500 0.6613  2 F 2.02
Sb 0.6861 0.2500 0.2385  4 V 2.93-3.13, 2 Sb 3.16
Sb 0.3139 0.7500 0.7615  4 V 2.93-3.13, 2 Sb 3.16
F 0.8647 0.2500 0.8369  2 V 2.02
F 0.1353 0.7500 0.1631  2 V 2.02

---

Below is a relaxed structure of V2SbF2, with properties calculated at the PBE with a Hubbard U level.

Properties
D(E_F), states/eV per cell: 2.28
ΔE to the lowest computed polymorph, kJ/mol of atoms: 14.6

a b c (Å): 7.5386 7.5386 2.9639
angles (deg): 90.00 90.00 90.00
Closest atoms and distances in Å follow each position.
Positions (direct):
Sb 0.0000 0.0000 0.0000  2 Sb 2.96, 4 F 3.08, 8 V 3.27
Sb 0.5000 0.5000 0.0000  2 Sb 2.96, 4 F 3.08, 8 V 3.27
V 0.1385 0.6385 0.5000  4 F 2.38
V 0.6385 0.8615 0.5000  4 F 2.38
V 0.8615 0.3615 0.5000  4 F 2.38
V 0.3615 0.1385 0.5000  4 F 2.38
F 0.3942 0.8942 0.0000  1 F 2.26, 4 V 2.38
F 0.8942 0.6058 0.0000  1 F 2.26, 4 V 2.38
F 0.6058 0.1058 0.0000  1 F 2.26, 4 V 2.38
F 0.1058 0.3942 0.0000  1 F 2.26, 4 V 2.38